1.
# TeIrNO, optimized geometry, DFT PBE-GGA
data_TeIrNO
_chemical_formula_sum 'Te4 Ir4 N4 O4'
_symmetry_space_group_name_H-M 'C m m e'
_symmetry_Int_Tables_number 67
_symmetry_space_group_name_Hall '-C 2a 2'
_cell_length_a 5.4582
_cell_length_b 6.0626
_cell_length_c 6.7397
_cell_angle_alpha 90.00
_cell_angle_beta 90.00
_cell_angle_gamma 90.00
loop_
_atom_site_label
_atom_site_fract_x
_atom_site_fract_y
_atom_site_fract_z
Te1 0.0000 0.2500 0.1800
Ir1 0.2500 0.0000 0.5000
N1 0.0000 0.2500 0.5819
O1 0.2500 0.0000 0.0000
# total moment	0.00	Bohr magnetons per cell
# volume	13.94	Å³/atom



2.
# LiCdCuGe, optimized geometry, DFT PBE-GGA
data_LiCdCuGe
_chemical_formula_sum 'Li4 Cd4 Cu4 Ge4'
_symmetry_space_group_name_H-M 'F -4 3 m'
_symmetry_Int_Tables_number 216
_symmetry_space_group_name_Hall 'F -4 2 3'
_cell_length_a 6.3300
_cell_length_b 6.3300
_cell_length_c 6.3300
_cell_angle_alpha 90.00
_cell_angle_beta 90.00
_cell_angle_gamma 90.00
loop_
_atom_site_label
_atom_site_fract_x
_atom_site_fract_y
_atom_site_fract_z
Li1 0.0000 0.0000 0.0000
Cd1 0.2500 0.2500 0.7500
Cu1 0.0000 0.0000 0.5000
Ge1 0.2500 0.2500 0.2500
# volume	15.85	Å³/atom



3.
# KScCdTe3, optimized geometry, DFT PBE-GGA
data_KScCdTe3
_chemical_formula_sum 'K4 Sc4 Cd4 Te12'
_symmetry_space_group_name_H-M 'C 1 2/m 1'
_symmetry_Int_Tables_number 12
_cell_length_a 19.1728
_cell_length_b 4.3283
_cell_length_c 9.7063
_cell_angle_alpha 90.00
_cell_angle_beta 102.49
_cell_angle_gamma 90.00
loop_
_symmetry_equiv_pos_as_xyz
'x,y,z'
'-x,-y,-z'
'-x,y,-z'
'x,-y,z'
'x+1/2,y+1/2,z'
'-x+1/2,-y+1/2,-z'
'-x+1/2,y+1/2,-z'
'x+1/2,-y+1/2,z'
loop_
_atom_site_label
_atom_site_fract_x
_atom_site_fract_y
_atom_site_fract_z
K1 0.1428 0.0000 0.0676
Sc1 0.1790 0.0000 0.5833
Cd1 0.0182 0.5000 0.7185
Te1 0.0000 0.0000 0.5000
Te2 0.0000 0.5000 0.0000
Te3 0.1671 0.5000 0.3727
Te4 0.1733 0.5000 0.7856
# total moment	0.00	Bohr magnetons per cell
# volume	32.77	Å³/atom



4.
# SmGd2In3AgPt2, optimized geometry, DFT PBE-GGA
data_SmGd2In3AgPt2
_chemical_formula_sum 'Sm2 Gd4 In6 Ag2 Pt4'
_symmetry_space_group_name_H-M 'A m m 2'
_symmetry_Int_Tables_number 38
_cell_length_a 3.8601
_cell_length_b 13.6249
_cell_length_c 7.8509
_cell_angle_alpha 90.00
_cell_angle_beta 90.00
_cell_angle_gamma 90.00
loop_
_symmetry_equiv_pos_as_xyz
'x,y,z'
'-x,-y,z'
'-x,y,z'
'x,-y,z'
'x,y+1/2,z+1/2'
'-x,-y+1/2,z+1/2'
'-x,y+1/2,z+1/2'
'x,-y+1/2,z+1/2'
loop_
_atom_site_label
_atom_site_fract_x
_atom_site_fract_y
_atom_site_fract_z
Sm1 0.0000 0.0000 0.0000
Gd1 0.0000 0.2060 0.6173
In1 0.5000 0.0000 0.6779
In2 0.5000 0.1333 0.2788
Ag1 0.0000 0.0000 0.4122
Pt1 0.5000 0.1680 0.9111
# total moment	0.01	Bohr magnetons per cell
# volume	22.94	Å³/atom



5.
# SmInGePt2, optimized geometry, DFT PBE-GGA
data_SmInGePt2
_chemical_formula_sum 'Sm2 In2 Ge2 Pt4'
_symmetry_space_group_name_H-M 'P 4/n m m'
_symmetry_Int_Tables_number 129
_cell_length_a 4.3064
_cell_length_b 4.3064
_cell_length_c 11.0768
_cell_angle_alpha 90.00
_cell_angle_beta 90.00
_cell_angle_gamma 90.00
loop_
_symmetry_equiv_pos_as_xyz
'x,y,z'
'-x,-y,-z'
'-y+1/2,x,z'
'y+1/2,-x,-z'
'-x+1/2,-y+1/2,z'
'x+1/2,y+1/2,-z'
'y,-x+1/2,z'
'-y,x+1/2,-z'
'x+1/2,-y,-z'
'-x+1/2,y,z'
'-y,-x,-z'
'y,x,z'
'-x,y+1/2,-z'
'x,-y+1/2,z'
'y+1/2,x+1/2,-z'
'-y+1/2,-x+1/2,z'
loop_
_atom_site_label
_atom_site_fract_x
_atom_site_fract_y
_atom_site_fract_z
Sm1 0.2500 0.2500 0.2343
In1 0.2500 0.7500 0.5000
Ge1 0.2500 0.2500 0.8776
Pt1 0.2500 0.2500 0.6596
Pt2 0.2500 0.7500 0.0000
# total moment	0.02	Bohr magnetons per cell
# volume	20.54	Å³/atom



6.
# Tm2Ga2Ni3Pd, optimized geometry, DFT PBE-GGA
data_Tm2Ga2Ni3Pd
_chemical_formula_sum 'Tm2 Ga2 Ni3 Pd1'
_symmetry_space_group_name_H-M 'P 3 m 1'
_symmetry_Int_Tables_number 156
_cell_length_a 4.1913
_cell_length_b 4.1913
_cell_length_c 8.6960
_cell_angle_alpha 90.00
_cell_angle_beta 90.00
_cell_angle_gamma 120.00
loop_
_symmetry_equiv_pos_as_xyz
'x,y,z'
'-y,x-y,z'
'-x+y,-x,z'
'-y,-x,z'
'-x+y,y,z'
'x,x-y,z'
loop_
_atom_site_label
_atom_site_fract_x
_atom_site_fract_y
_atom_site_fract_z
Tm1 0.0000 0.0000 0.0000
Tm2 0.3333 0.6667 0.5127
Ga1 0.6667 0.3333 0.2758
Ga2 0.6667 0.3333 0.7555
Ni1 0.0000 0.0000 0.3360
Ni2 0.0000 0.0000 0.6865
Ni3 0.3333 0.6667 0.8252
Pd1 0.3333 0.6667 0.1750
# total moment	0.00	Bohr magnetons per cell
# volume	16.54	Å³/atom



Total DFT energy (no corrections) for the records above, in order: -5.76, -2.88, -3.84, -4.95, -5.69, -5.26 eV per atom